Here is a relaxed LiPuSi4 crystal from Alexandria via LeMat-Bulk. Energies are from PBE.

It has space group Imm2 (No. 44), with a = 4.0653 Å, b = 6.2674 Å, c = 7.7441 Å, α = 90.00°, β = 90.00° and γ = 90.00°. The inequivalent atoms are Li at (0.0000, 0.0000, 0.0000), Pu at (0.0000, 0.5000, 0.8819), Si at (0.0000, 0.2306, 0.5820) and Si at (0.0000, 0.3097, 0.2627).

For the energy relative to the lowest polymorph listed for this composition, the calculation gives 0.00 kcal/mol of atoms. The density of states at the Fermi level comes out at 13.1 states/eV per cell.